(1)
10
Lattice="6.2882 0.0000 1.4654 0.0000 5.1987 0.0000 -1.2756 -2.5994 6.7439" Properties=species:S:1:pos:R:3 comment="PBE-GGA TmAgHg3, relaxed" sg=C2/m magmom_total_mub_per_cell=0.00 volume_a3_per_cell=230.2 delta_e_f_kj_per_mol_atoms=-16.06 total_energy_ev_per_atom=-1.812 pbc="T T T"
Tm 0.3925 0.0000 5.5439
Tm 4.6202 2.5994 2.6654
Ag 2.6832 0.0000 3.3825
Ag 2.3294 2.5994 4.8268
Hg 3.3827 2.5994 7.8128
Hg 1.6299 0.0000 0.3965
Hg 1.5722 2.5994 1.9590
Hg 3.4404 0.0000 6.2503
Hg -0.7497 2.5994 4.1851
Hg 5.7623 0.0000 4.0242

(2)
6
Lattice="-4.8224 0.1630 0.3561 2.1673 -3.9788 -1.6972 0.4516 -2.9360 7.4597" Properties=species:S:1:pos:R:3 comment="PBE-GGA Li2AcPmSn2, relaxed" sg=P-3m1 magmom_total_mub_per_cell=0.00 volume_a3_per_cell=162.8 delta_e_f_kj_per_mol_atoms=-63.18 total_energy_ev_per_atom=-4.104 pbc="T T T"
Li 0.1524 -4.6465 4.1915
Li -2.3560 -2.1053 1.9270
Ac 0.0000 0.0000 0.0000
Pm 0.2258 -1.4680 3.7298
Sn -0.0400 -3.3954 1.0127
Sn -2.1635 -3.3564 5.1058